Computed, not measured: an optimized crystal structure of CaIrRh at the PBE-GGA level of DFT.

Lattice parameters (Å, degrees): 2.8762 4.0216 9.9749 90.00 90.00 90.00
Space group Imm2 (No. 44)
One atom of each set of equivalent atoms:
Ca (0.0000, 0.0000, 0.0000) x2
Ir (0.0000, 0.0000, 0.7090) x2
Rh (0.0000, 0.0000, 0.2864) x2

Summary:
Its theoretical density is 9.6 g/cm³. For the total energy, the calculation gives -6.17 eV/atom. The formation enthalpy at 0 K is -0.095 eV per atom. Its relative energy among the computed polymorphs is 1.06 eV/f.u.

---

Computed, not measured: an optimized crystal structure of Sm2Ho5Te4 at the PBE-GGA level of DFT.

Lattice parameters (Å, degrees): 22.7280 3.9691 7.7320 90.00 99.35 90.00
Space group C2/m (No. 12)
One atom of each set of equivalent atoms:
Sm (0.2063, 0.0000, 0.1362) x4
Ho (0.0000, 0.5000, 0.5000) x2
Ho (0.0515, 0.0000, 0.8743) x4
Ho (0.1905, 0.0000, 0.5723) x4
Te (0.0783, 0.0000, 0.2909) x4
Te (0.1493, 0.5000, 0.8319) x4

Summary:
Its theoretical density is 7.9 g/cm³. For the total energy, the calculation gives -4.80 eV/atom. The energy relative to the elements, uncorrected comes out at -0.72 eV per atom.

---

- theoretical density of number 1 (CaIrRh)?
  9.6 g/cm³

---

What did the second record say?
Computed, not measured: an optimized crystal structure of Sm2Ho5Te4 at the PBE-GGA level of DFT.

Lattice parameters (Å, degrees): 22.7280 3.9691 7.7320 90.00 99.35 90.00
Space group C2/m (No. 12)
One atom of each set of equivalent atoms:
Sm (0.2063, 0.0000, 0.1362) x4
Ho (0.0000, 0.5000, 0.5000) x2
Ho (0.0515, 0.0000, 0.8743) x4
Ho (0.1905, 0.0000, 0.5723) x4
Te (0.0783, 0.0000, 0.2909) x4
Te (0.1493, 0.5000, 0.8319) x4

Summary:
Its theoretical density is 7.9 g/cm³. For the total energy, the calculation gives -4.80 eV/atom. The energy relative to the elements, uncorrected comes out at -0.72 eV per atom.